No. 1
MoPPb2: optimized geometry, PBE.

a = 4.651 Å, b = 4.651 Å, c = 8.331 Å
α = 90.00°, β = 90.00°, γ = 90.00°
Space group I-4m2 (No. 119)
Symmetry-distinct sites (fractional):
Mo (0.000, 0.000, 0.000)
P (0.000, 0.500, 0.750)
Pb (0.000, 0.000, 0.500)
Pb (0.000, 0.500, 0.250)

Computed properties:
N(E_F): 0.563 states/eV per atom
Formation energy: 819 meV/atom
Total magnetic moment: 2.6 μB/f.u.


No. 2
MoPPb2: optimized geometry, PBE.

a = 3.736 Å, b = 5.020 Å, c = 9.151 Å
α = 90.00°, β = 90.00°, γ = 90.00°
Space group Immm (No. 71)
Symmetry-distinct sites (fractional):
Mo (0.000, 0.000, 0.000)
P (0.000, 0.000, 0.500)
Pb (0.000, 0.500, 0.237)

Computed properties:
N(E_F): 0.803 states/eV per atom
Formation energy: 789 meV/atom
Total magnetic moment: 1.3 μB/f.u.


No. 3
Mo2PPb: optimized geometry, PBE.

a = 5.838 Å, b = 8.611 Å, c = 3.162 Å
α = 90.00°, β = 116.37°, γ = 90.00°
Space group C2/m (No. 12)
Symmetry-distinct sites (fractional):
Mo (0.250, 0.250, 0.000)
P (0.000, 0.000, 0.500)
Pb (0.000, 0.500, 0.500)

Computed properties:
N(E_F): 0.930 states/eV per atom
Offset from the most stable computed form: 0.684 eV/atom
Formation energy: 742 meV/atom
Total magnetic moment: 0.0 μB/f.u.


No. 4
MoP2Pb: optimized geometry, PBE.

a = 3.030 Å, b = 5.956 Å, c = 9.461 Å
α = 90.00°, β = 90.00°, γ = 90.00°
Space group Immm (No. 71)
Symmetry-distinct sites (fractional):
Mo (0.000, 0.000, 0.000)
P (0.000, 0.500, 0.303)
Pb (0.000, 0.000, 0.500)

Computed properties:
N(E_F): 0.696 states/eV per atom
Offset from the most stable computed form: 0.449 eV/atom
Formation energy: 360 meV/atom
Total magnetic moment: 0.0 μB/f.u.


No. 5
MoP2Pb: optimized geometry, PBE.

a = 5.846 Å, b = 5.846 Å, c = 12.054 Å
α = 90.00°, β = 90.00°, γ = 90.00°
Space group I-42d (No. 122)
Symmetry-distinct sites (fractional):
Mo (0.000, 0.000, 0.000)
P (0.168, 0.250, 0.125)
Pb (0.000, 0.000, 0.500)

Computed properties:
N(E_F): 0.201 states/eV per atom
Offset from the most stable computed form: 0.252 eV/atom
Formation energy: 163 meV/atom
Total magnetic moment: 0.0 μB/f.u.


No. 6
Mo2PPb: optimized geometry, PBE.

a = 3.306 Å, b = 4.270 Å, c = 5.015 Å
α = 90.00°, β = 90.00°, γ = 90.00°
Space group Pmmm (No. 47)
Symmetry-distinct sites (fractional):
Mo (0.000, 0.000, 0.000)
Mo (0.500, 0.000, 0.500)
P (0.000, 0.500, 0.500)
Pb (0.500, 0.500, 0.000)

Computed properties:
N(E_F): 1.231 states/eV per atom
Offset from the most stable computed form: 0.667 eV/atom
Formation energy: 725 meV/atom
Total magnetic moment: 0.0 μB/f.u.


No. 7
MoP2Pb: optimized geometry, PBE.

a = 3.2445 Å, b = 3.2445 Å, c = 26.4499 Å
α = 90.00°, β = 90.00°, γ = 120.00°
Space group R-3m (No. 166, hexagonal axes)
Symmetry-distinct sites (fractional):
Mo (0.0000, 0.0000, 0.0000)
P (0.0000, 0.0000, 0.2730)
Pb (0.0000, 0.0000, 0.5000)

Computed properties:
N(E_F): 0.815 states/eV per atom
Offset from the most stable computed form: 0.015 eV/atom
Formation energy: -75 meV/atom
Total magnetic moment: 0.0 μB/f.u.


No. 8
MoP2Pb: optimized geometry, PBE.

a = 3.0956 Å, b = 3.0956 Å, c = 27.2784 Å
α = 90.00°, β = 90.00°, γ = 120.00°
Space group R3m (No. 160, hexagonal axes)
Symmetry-distinct sites (fractional):
Mo (0.0000, 0.0000, 0.0000)
P (0.0000, 0.0000, 0.2700)
P (0.0000, 0.0000, 0.5430)
Pb (0.0000, 0.0000, 0.7609)

Computed properties:
N(E_F): 0.556 states/eV per atom
Offset from the most stable computed form: 0.441 eV/atom
Formation energy: 352 meV/atom
Total magnetic moment: 0.0 μB/f.u.


What did the third record say?
Mo2PPb: optimized geometry, PBE.

a = 5.838 Å, b = 8.611 Å, c = 3.162 Å
α = 90.00°, β = 116.37°, γ = 90.00°
Space group C2/m (No. 12)
Symmetry-distinct sites (fractional):
Mo (0.250, 0.250, 0.000)
P (0.000, 0.000, 0.500)
Pb (0.000, 0.500, 0.500)

Computed properties:
N(E_F): 0.930 states/eV per atom
Offset from the most stable computed form: 0.684 eV/atom
Formation energy: 742 meV/atom
Total magnetic moment: 0.0 μB/f.u.